4
Lattice="-2.4366 -0.8602 0.6783 2.2666 -4.4022 2.5595 -0.8731 4.7791 2.9239" Properties=species:S:1:pos:R:3 comment="SrMgRe2 meta-GGA SCAN single point on PBEsol structure" e_form_ev_per_atom=0.98 magmom_total_mub_per_fu=0.0 sg=Cmmm pbc="T T T"
Sr -1.2183 -0.4301 0.3392
Mg -0.0850 -2.6312 1.6189
Re 0.6967 0.1885 2.7417
Re -0.4366 2.3896 1.4620